No. 1
Material: Be2PtAu
Method: DFT, GGA-PBE
State: optimized geometry

Fermi-level density of states   0.27 states/eV/atom
Raw total energy   -4.5563 eV per atom
ΔH_f (0 K)   -364 meV/atom

Lattice parameters (Å, degrees): 4.6095 4.6095 4.1914 76.15 76.15 35.42
Last column: nearest neighbours and their distance in Å.
Element x y z (fractional)
Be: 0.9930 0.9930 0.9539  3 Au 2.43-2.53, 4 Pt 2.46-2.60, 2 Be 2.66
Be: 0.2519 0.2519 0.3082  3 Pt 2.46-2.47, 4 Au 2.52-2.53, 2 Be 2.66
Au: 0.7403 0.7403 0.8159  7 Be 2.43-2.53
Pt: 0.5147 0.5147 0.4219  7 Be 2.46-2.60



No. 2
Material: Be3Pt2Au
Method: DFT, GGA-PBE
State: optimized geometry

Fermi-level density of states   0.22 states/eV/atom
Raw total energy   -4.9621 eV per atom
ΔH_f (0 K)   -539 meV/atom

Lattice parameters (Å, degrees): 2.8208 2.8208 9.1474 90.00 90.00 90.00
Last column: nearest neighbours and their distance in Å.
Element x y z (fractional)
Be: 0.0000 0.0000 0.0000  8 Pt 2.49
Be: 0.0000 0.0000 0.6828  4 Pt 2.45, 4 Au 2.60
Be: 0.0000 0.0000 0.3172  4 Pt 2.45, 4 Au 2.60
Pt: 0.5000 0.5000 0.8380  8 Be 2.45-2.49
Pt: 0.5000 0.5000 0.1620  8 Be 2.45-2.49
Au: 0.5000 0.5000 0.5000  8 Be 2.60, 4 Au 2.82



No. 3
Material: Be2PtAu
Method: DFT, GGA-PBE
State: optimized geometry

Fermi-level density of states   0.32 states/eV/atom
Raw total energy   -4.1524 eV per atom
ΔH_f (0 K)   40 meV/atom

Lattice parameters (Å, degrees): 4.2527 4.2527 4.2527 60.00 60.00 60.00
Last column: nearest neighbours and their distance in Å.
Element x y z (fractional)
Be: 0.0000 0.0000 0.0000  4 Be 2.60, 4 Pt 2.60
Be: 0.2500 0.2500 0.2500  4 Be 2.60, 4 Au 2.60
Au: 0.5000 0.5000 0.5000  4 Pt 2.60, 4 Be 2.60
Pt: 0.7500 0.7500 0.7500  4 Be 2.60, 4 Au 2.60



No. 4
Material: BePt2Au
Method: DFT, GGA-PBE
State: optimized geometry

Fermi-level density of states   0.59 states/eV/atom
Raw total energy   -5.0055 eV per atom
ΔH_f (0 K)   -234 meV/atom

Lattice parameters (Å, degrees): 5.1604 5.1604 4.6107 62.94 62.94 32.57
Last column: nearest neighbours and their distance in Å.
Element x y z (fractional)
Be: 0.2581 0.2581 0.1557  4 Pt 2.30-2.34, 2 Au 2.42
Au: 0.5446 0.5446 0.4892  2 Be 2.42
Pt: 0.9515 0.9515 0.0848  2 Be 2.30
Pt: 0.7458 0.7458 0.7704  2 Be 2.34



No. 5
Material: BePtAu
Method: DFT, GGA-PBE
State: optimized geometry

Fermi-level density of states   0.25 states/eV/atom
Excess energy over the best structure of this formula in the dataset   41 meV/atom
Raw total energy   -4.7109 eV per atom
ΔH_f (0 K)   -363 meV/atom

Lattice parameters (Å, degrees): 2.7992 7.4801 23.1934 165.06 90.00 100.78
Last column: nearest neighbours and their distance in Å.
Element x y z (fractional)
Be: 0.6708 0.3416 0.7510  5 Pt 2.35-2.46, 2 Au 2.63
Be: 0.3292 0.6584 0.2490  5 Pt 2.35-2.46, 2 Au 2.63
Pt: 0.0700 0.1400 0.7689  5 Be 2.35-2.46
Pt: 0.9300 0.8600 0.2311  5 Be 2.35-2.46
Au: 0.6935 0.3869 0.2591  2 Be 2.63, 5 Au 2.80-2.85, 3 Pt 2.84-2.88
Au: 0.3065 0.6131 0.7409  2 Be 2.63, 5 Au 2.80-2.85, 3 Pt 2.84-2.88



No. 6
Material: BePt2Au
Method: DFT, GGA-PBE
State: optimized geometry

Fermi-level density of states   0.49 states/eV/atom
Raw total energy   -4.8648 eV per atom
ΔH_f (0 K)   -93 meV/atom

Lattice parameters (Å, degrees): 2.8537 4.7066 5.5186 53.65 90.00 90.00
Last column: nearest neighbours and their distance in Å.
Element x y z (fractional)
Be: 0.0000 0.0000 0.5000  6 Pt 2.74-2.76, 4 Au 2.75, 2 Be 2.85
Au: 0.5000 0.5000 0.5000  6 Pt 2.74-2.76, 4 Be 2.75, 2 Au 2.85
Pt: 0.0000 0.0000 0.0000  4 Au 2.74, 6 Pt 2.75-2.85, 2 Be 2.76
Pt: 0.5000 0.5000 0.0000  4 Be 2.74, 6 Pt 2.75-2.85, 2 Au 2.76



No. 7
Material: Be2Pt2Au
Method: DFT, GGA-PBE
State: optimized geometry

Fermi-level density of states   0.28 states/eV/atom
Excess energy over the best structure of this formula in the dataset   0 meV/atom
Raw total energy   -5.0570 eV per atom
ΔH_f (0 K)   -495 meV/atom

Lattice parameters (Å, degrees): 6.8591 6.8591 2.7780 90.00 90.00 90.00
Last column: nearest neighbours and their distance in Å.
Element x y z (fractional)
Be: 0.3615 0.8615 0.0000  6 Pt 2.43-2.46, 2 Au 2.66, 1 Be 2.69
Be: 0.8615 0.6385 0.0000  6 Pt 2.43-2.46, 2 Au 2.66, 1 Be 2.69
Be: 0.6385 0.1385 0.0000  6 Pt 2.43-2.46, 2 Au 2.66, 1 Be 2.69
Be: 0.1385 0.3615 0.0000  6 Pt 2.43-2.46, 2 Au 2.66, 1 Be 2.69
Au: 0.0000 0.0000 0.0000  4 Be 2.66, 2 Au 2.78, 8 Pt 2.95
Au: 0.5000 0.5000 0.0000  4 Be 2.66, 2 Au 2.78, 8 Pt 2.95
Pt: 0.1522 0.6522 0.5000  6 Be 2.43-2.46
Pt: 0.6522 0.8478 0.5000  6 Be 2.43-2.46
Pt: 0.8478 0.3478 0.5000  6 Be 2.43-2.46
Pt: 0.3478 0.1522 0.5000  6 Be 2.43-2.46



No. 8
Material: Be2PtAu
Method: DFT, GGA-PBE
State: optimized geometry

Fermi-level density of states   0.39 states/eV/atom
Raw total energy   -3.7496 eV per atom
ΔH_f (0 K)   443 meV/atom

Lattice parameters (Å, degrees): 5.1918 5.1918 5.1918 61.97 135.47 139.20
Last column: nearest neighbours and their distance in Å.
Element x y z (fractional)
Be: 0.0000 0.2465 0.2465  1 Pt 2.19, 1 Au 2.26
Be: 0.0000 0.7535 0.7535  1 Pt 2.19, 1 Au 2.26
Au: 0.0000 0.5000 0.5000  2 Be 2.26
Pt: 0.0000 0.0000 0.0000  2 Be 2.19



No. 9
Material: BePt2Au
Method: DFT, GGA-PBE
State: optimized geometry

Fermi-level density of states   0.76 states/eV/atom
Raw total energy   -4.6292 eV per atom
ΔH_f (0 K)   142 meV/atom

Lattice parameters (Å, degrees): 3.7795 3.7795 9.4680 78.49 78.49 90.00
Last column: nearest neighbours and their distance in Å.
Element x y z (fractional)
Be: 0.5000 0.5000 0.0000  4 Pt 2.62, 4 Au 2.67
Be: 0.2500 0.7500 0.5000  4 Pt 2.62, 4 Au 2.67
Au: 0.0000 0.0000 0.0000  4 Pt 2.65, 4 Be 2.67
Au: 0.7500 0.2500 0.5000  4 Pt 2.65, 4 Be 2.67
Pt: 0.6121 0.1250 0.2500  4 Pt 2.60-2.74, 2 Be 2.62, 2 Au 2.65
Pt: 0.1379 0.6250 0.2500  4 Pt 2.60-2.74, 2 Be 2.62, 2 Au 2.65
Pt: 0.3750 0.3879 0.7500  4 Pt 2.60-2.74, 2 Be 2.62, 2 Au 2.65
Pt: 0.8750 0.8621 0.7500  4 Pt 2.60-2.74, 2 Be 2.62, 2 Au 2.65



No. 10
Material: Be2PtAu
Method: DFT, GGA-PBE
State: optimized geometry

Fermi-level density of states   0.09 states/eV/atom
Raw total energy   -4.6153 eV per atom
ΔH_f (0 K)   -423 meV/atom

Lattice parameters (Å, degrees): 2.7886 4.1943 8.4547 90.00 90.00 90.00
Last column: nearest neighbours and their distance in Å.
Element x y z (fractional)
Be: 0.0000 0.2500 0.1133  6 Pt 2.43-2.52, 2 Au 2.59
Be: 0.0000 0.7500 0.8867  6 Pt 2.43-2.52, 2 Au 2.59
Be: 0.0000 0.2500 0.6377  2 Pt 2.46, 6 Au 2.52-2.65
Be: 0.0000 0.7500 0.3623  2 Pt 2.46, 6 Au 2.52-2.65
Pt: 0.5000 0.2500 0.8774  8 Be 2.43-2.52
Pt: 0.5000 0.7500 0.1226  8 Be 2.43-2.52
Au: 0.5000 0.2500 0.3718  8 Be 2.52-2.65, 2 Au 2.79
Au: 0.5000 0.7500 0.6282  8 Be 2.52-2.65, 2 Au 2.79



No. 11
Material: Be2Pt2Au
Method: DFT, GGA-PBE
State: optimized geometry

Fermi-level density of states   0.33 states/eV/atom
Excess energy over the best structure of this formula in the dataset   85 meV/atom
Raw total energy   -4.9718 eV per atom
ΔH_f (0 K)   -410 meV/atom

Lattice parameters (Å, degrees): 7.0454 7.0454 2.7322 90.00 90.00 90.00
Last column: nearest neighbours and their distance in Å.
Element x y z (fractional)
Be: 0.1546 0.6546 0.5000  6 Pt 2.46-2.49, 2 Be 2.73
Be: 0.6546 0.8454 0.5000  6 Pt 2.46-2.49, 2 Be 2.73
Be: 0.8454 0.3454 0.5000  6 Pt 2.46-2.49, 2 Be 2.73
Be: 0.3454 0.1546 0.5000  6 Pt 2.46-2.49, 2 Be 2.73
Au: 0.0000 0.0000 0.0000  4 Pt 2.72, 2 Au 2.73, 8 Be 3.00
Au: 0.5000 0.5000 0.0000  4 Pt 2.72, 2 Au 2.73, 8 Be 3.00
Pt: 0.3595 0.8595 0.0000  6 Be 2.46-2.49, 2 Au 2.72, 2 Pt 2.73
Pt: 0.8595 0.6405 0.0000  6 Be 2.46-2.49, 2 Au 2.72, 2 Pt 2.73
Pt: 0.6405 0.1405 0.0000  6 Be 2.46-2.49, 2 Au 2.72, 2 Pt 2.73
Pt: 0.1405 0.3595 0.0000  6 Be 2.46-2.49, 2 Au 2.72, 2 Pt 2.73



No. 12
Material: BePt2Au
Method: DFT, GGA-PBE
State: optimized geometry

Fermi-level density of states   0.48 states/eV/atom
Raw total energy   -4.8787 eV per atom
ΔH_f (0 K)   -107 meV/atom

Lattice parameters (Å, degrees): 4.7009 4.7009 4.7009 129.96 129.96 73.48
Last column: nearest neighbours and their distance in Å.
Element x y z (fractional)
Be: 0.7500 0.2500 0.5000  8 Pt 2.74, 4 Au 2.81
Au: 0.2500 0.7500 0.5000  8 Pt 2.74, 4 Be 2.81
Pt: 0.0000 0.0000 0.0000  4 Be 2.74, 4 Au 2.74, 4 Pt 2.81
Pt: 0.5000 0.5000 0.0000  4 Au 2.74, 4 Be 2.74, 4 Pt 2.81